! LaYTl | Alexandria | GGA-PBE | relaxed; values from VASP
! E_form: -0.289 eV per atom
! Excess energy over the best structure of this formula in the dataset: 0 meV per atom
! Symmetry: P6_3/mmc (194)
&SYSTEM
  ibrav = 0, nat = 6, ntyp = 3
/
ATOMIC_SPECIES
La 138.91 La.upf
Y 88.91 Y.upf
Tl 204.38 Tl.upf
CELL_PARAMETERS angstrom
-2.183 -4.492 2.442
5.177 -0.176 -2.021
2.426 2.101 6.032
ATOMIC_POSITIONS crystal
La 0.000 0.500 0.000
La 0.000 0.500 0.500
Y 0.667 0.833 0.750
Y 0.333 0.167 0.250
Tl 0.333 0.167 0.750
Tl 0.667 0.833 0.250